(1)
A relaxed Nd3ZrTl3S8 crystal, computed with PBE.

a b c (Å): 8.1571 8.1571 22.6956
angles (deg): 90.00 90.00 120.00
Space group R-3m (No. 166, hexagonal axes)
Asymmetric unit:
Nd1 0.0000 0.5000 0.0000 (multiplicity 9)
Zr1 0.0000 0.0000 0.0000 (multiplicity 3)
Tl1 0.0000 0.5000 0.5000 (multiplicity 9)
S1 0.0000 0.0000 0.2648 (multiplicity 6)
S2 0.0253 0.5127 0.7313 (multiplicity 18)

Computed properties:
E = -5.665 eV/atom
Total magnetic moment = 0.000 μB per cell


(2)
A relaxed PmPrPtRh crystal, computed with PBE.

a b c (Å): 7.1556 7.1556 7.1556
angles (deg): 90.00 90.00 90.00
Space group F-43m (No. 216)
Asymmetric unit:
Pm1 0.0000 0.0000 0.0000 (multiplicity 4)
Pr1 0.0000 0.0000 0.5000 (multiplicity 4)
Pt1 0.2500 0.2500 0.2500 (multiplicity 4)
Rh1 0.2500 0.2500 0.7500 (multiplicity 4)

Computed properties:
E = -6.576 eV/atom
ΔH_f (0 K) = -0.846 eV/atom
Offset from the most stable computed form = 0.32 eV/f.u.
DOS(E_F) = 11.02 states/eV/cell
Total magnetic moment = 0.000 μB per cell


(3)
A relaxed Na2CaAl2 crystal, computed with PBE.

a b c (Å): 4.3458 4.3458 14.6018
angles (deg): 90.00 90.00 90.00
Space group I4/mmm (No. 139)
Asymmetric unit:
Na1 0.0000 0.5000 0.2500 (multiplicity 4)
Ca1 0.0000 0.0000 0.0000 (multiplicity 2)
Al1 0.0000 0.0000 0.4099 (multiplicity 4)

Computed properties:
E = -2.321 eV/atom
ΔH_f (0 K) = 0.104 eV/atom
Offset from the most stable computed form = 0.00 eV/f.u.
DOS(E_F) = 6.01 states/eV/cell
Total magnetic moment = 0.000 μB per cell